A relaxed Ac2La2CoHg2 crystal. Source: Alexandria, functional GGA-PBE. Values from VASP.

```
&SYSTEM
  ibrav = 0, nat = 7, ntyp = 4
/
ATOMIC_SPECIES
La 138.91 La.upf
Ac 227.00 Ac.upf
Co 58.93 Co.upf
Hg 200.59 Hg.upf
CELL_PARAMETERS angstrom
-2.9298 -2.1797 -1.8592
-1.3500 -3.7508 6.4378
-6.9732 2.5653 3.3797
ATOMIC_POSITIONS angstrom
La -2.0106 -1.7594 0.6813
La -9.2424 -1.6057 7.2770
Ac -4.9855 0.3542 2.8825
Co 0.0000 0.0000 0.0000
Hg -4.8582 -2.9269 2.0176
Hg -6.3949 -0.4383 5.9407
Ac -6.2675 -3.7193 5.0758
```

Space-group type: P-1, No. 2
Crystal system: triclinic
Formation energy in kcal/mol of atoms: -6.65

A relaxed SrMgAl2 crystal. Source: Alexandria, functional GGA-PBE. Values from VASP.

```
&SYSTEM
  ibrav = 0, nat = 4, ntyp = 3
/
ATOMIC_SPECIES
Al 26.98 Al.upf
Mg 24.30 Mg.upf
Sr 87.62 Sr.upf
CELL_PARAMETERS angstrom
3.8586 0.0000 0.0000
0.0000 3.4586 -0.0034
0.0000 3.4753 7.3560
ATOMIC_POSITIONS angstrom
Al 0.0000 3.4661 3.2504
Mg 1.9293 1.7335 1.8382
Sr 1.9293 5.2004 5.5145
Al 0.0000 3.4595 0.4226
```

Space-group type: P2/m, No. 10
Crystal system: monoclinic
Formation energy in kcal/mol of atoms: -1.51